[1]
Density functional theory data (GGA-PBE) for LiEr4S5 after structural relaxation.

Results
N(E_F) ... 7.04 states/eV/cell
Calculated density ... 6.92 g cm⁻³
Energy ... -6.01 eV/atom

a b c (Å): 8.603 8.603 5.425
angles (deg): 90.00 90.00 90.00
Space group I4/m (No. 87)
Inequivalent atoms, fractional coordinates:
1 Li 0.000 0.000 0.000 [2 per cell]
2 Er 0.101 0.299 0.500 [8 per cell]
3 S 0.000 0.000 0.500 [2 per cell]
4 S 0.096 0.294 0.000 [8 per cell]

[2]
Density functional theory data (GGA-PBE) for LiEr4S6 after structural relaxation.

Results
N(E_F) ... 7.71 states/eV/cell
Calculated density ... 5.83 g cm⁻³
Energy ... -6.01 eV/atom

a b c (Å): 3.855 12.819 20.030
angles (deg): 90.00 90.00 90.00
Space group Cmcm (No. 63)
Inequivalent atoms, fractional coordinates:
1 Li 0.000 0.176 0.250 [4 per cell]
2 Er 0.000 0.097 0.639 [8 per cell]
3 Er 0.000 0.368 0.545 [8 per cell]
4 S 0.000 0.000 0.000 [4 per cell]
5 S 0.000 0.200 0.750 [4 per cell]
6 S 0.000 0.275 0.080 [8 per cell]
7 S 0.000 0.460 0.662 [8 per cell]

[3]
Density functional theory data (GGA-PBE) for Li2ErSbS4 after structural relaxation.

Results
N(E_F) ... 0.00 states/eV/cell
Calculated density ... 4.39 g cm⁻³
Energy ... -4.88 eV/atom

a b c (Å): 6.588 3.887 6.783
angles (deg): 90.00 110.07 90.00
Space group P2/m (No. 10)
Inequivalent atoms, fractional coordinates:
1 Li 0.000 0.000 0.000 [1 per cell]
2 Li 0.000 0.500 0.500 [1 per cell]
3 Er 0.500 0.000 0.500 [1 per cell]
4 Sb 0.500 0.500 0.000 [1 per cell]
5 S 0.246 0.000 0.744 [2 per cell]
6 S 0.251 0.500 0.252 [2 per cell]

[4]
Density functional theory data (GGA-PBE) for LiEr4ScS8 after structural relaxation.

Results
N(E_F) ... 0.00 states/eV/cell
Calculated density ... 4.71 g cm⁻³
Energy ... -6.19 eV/atom

a b c (Å): 7.9151 7.9151 19.0389
angles (deg): 90.00 90.00 120.00
Space group R3m (No. 160, hexagonal axes)
Inequivalent atoms, fractional coordinates:
1 Li 0.0000 0.0000 0.0000 [3 per cell]
2 Er 0.0000 0.0000 0.2482 [3 per cell]
3 Er 0.1725 0.3451 0.4573 [9 per cell]
4 Sc 0.0000 0.0000 0.6319 [3 per cell]
5 S 0.0000 0.0000 0.3831 [3 per cell]
6 S 0.0000 0.0000 0.8697 [3 per cell]
7 S 0.0238 0.5119 0.3739 [9 per cell]
8 S 0.1812 0.3624 0.2085 [9 per cell]

[5]
Density functional theory data (GGA-PBE) for LiEr2ScS5 after structural relaxation.

Results
Calculated density ... 5.23 g cm⁻³
Energy ... -6.05 eV/atom

a b c (Å): 3.803 15.822 11.536
angles (deg): 90.00 90.00 90.00
Space group Cmc2_1 (No. 36)
Inequivalent atoms, fractional coordinates:
1 Li 0.000 0.018 0.000 [4 per cell]
2 Er 0.000 0.371 0.818 [4 per cell]
3 Er 0.000 0.394 0.208 [4 per cell]
4 Sc 0.000 0.302 0.529 [4 per cell]
5 S 0.000 0.002 0.304 [4 per cell]
6 S 0.000 0.138 0.524 [4 per cell]
7 S 0.000 0.193 0.874 [4 per cell]
8 S 0.000 0.218 0.184 [4 per cell]
9 S 0.000 0.448 0.595 [4 per cell]

[6]
Density functional theory data (GGA-PBE) for Li2ErScS4 after structural relaxation.

Results
N(E_F) ... 0.00 states/eV/cell
Calculated density ... 3.86 g cm⁻³
Energy ... -5.71 eV/atom

a b c (Å): 6.502 3.791 6.561
angles (deg): 90.00 109.63 90.00
Space group P2/m (No. 10)
Inequivalent atoms, fractional coordinates:
1 Li 0.000 0.000 0.000 [1 per cell]
2 Li 0.000 0.500 0.500 [1 per cell]
3 Er 0.500 0.000 0.500 [1 per cell]
4 Sc 0.500 0.500 0.000 [1 per cell]
5 S 0.253 0.500 0.241 [2 per cell]
6 S 0.258 0.000 0.762 [2 per cell]

[7]
Density functional theory data (GGA-PBE) for Li4Er3ScS8 after structural relaxation.

Results
N(E_F) ... 0.00 states/eV/cell
Calculated density ... 4.41 g cm⁻³
Energy ... -5.62 eV/atom

a b c (Å): 7.6678 7.6678 18.4409
angles (deg): 90.00 90.00 120.00
Space group R-3m (No. 166, hexagonal axes)
Inequivalent atoms, fractional coordinates:
1 Li 0.0000 0.0000 0.0000 [3 per cell]
2 Li 0.0000 0.5000 0.0000 [9 per cell]
3 Er 0.0000 0.5000 0.5000 [9 per cell]
4 Sc 0.0000 0.0000 0.5000 [3 per cell]
5 S 0.0000 0.0000 0.2502 [6 per cell]
6 S 0.0094 0.5047 0.2485 [18 per cell]

[8]
Density functional theory data (GGA-PBE) for LiErSi2S6 after structural relaxation.

Results
N(E_F) ... 0.00 states/eV/cell
Calculated density ... 3.24 g cm⁻³
Energy ... -5.27 eV/atom

a b c (Å): 12.272 11.495 6.336
angles (deg): 90.00 104.05 90.00
Space group C2/c (No. 15)
Inequivalent atoms, fractional coordinates:
1 Li 0.000 0.210 0.250 [4 per cell]
2 Er 0.000 0.384 0.750 [4 per cell]
3 Si 0.203 0.081 0.773 [8 per cell]
4 S 0.117 0.416 0.164 [8 per cell]
5 S 0.134 0.234 0.617 [8 per cell]
6 S 0.140 0.068 0.066 [8 per cell]